Computed, not measured: a relaxed structure of Cs3Tm2SnTe6 at the PBE level of DFT.

Unit cell a=7.8715 b=13.6409 c=9.2715 alpha=90.00 beta=106.43 gamma=90.00
Space group C2/m (No. 12)
Asymmetric unit:
Cs  0.0000  0.0000  0.0000 x2
Cs  0.0000  0.3344  0.0000 x4
Tm  0.0000  0.1669  0.5000 x4
Sn  0.0000  0.5000  0.5000 x2
Te  0.2245  0.0000  0.6862 x4
Te  0.2310  0.3313  0.6866 x8

Output
Energy relative to the elements, uncorrected, eV per atom: -1.07

Computed, not measured: a relaxed structure of CsUSnTe3 at the PBE level of DFT.

Unit cell a=10.2569 b=4.3524 c=10.4520 alpha=90.00 beta=111.78 gamma=90.00
Space group P2_1/m (No. 11)
Asymmetric unit:
Cs  0.2125  0.2500  0.4792 x2
U  0.2094  0.2500  0.9906 x2
Sn  0.4949  0.7500  0.1082 x2
Te  0.1205  0.7500  0.1534 x2
Te  0.1753  0.7500  0.7773 x2
Te  0.4651  0.2500  0.2847 x2

Output
Energy relative to the elements, uncorrected, eV per atom: -0.62

Computed, not measured: a relaxed structure of Cs3U2SnTe6 at the PBE level of DFT.

Unit cell a=8.0669 b=13.9644 c=9.2399 alpha=90.00 beta=106.87 gamma=90.00
Space group C2/m (No. 12)
Asymmetric unit:
Cs  0.0000  0.0000  0.0000 x2
Cs  0.0000  0.3379  0.0000 x4
U  0.0000  0.1672  0.5000 x4
Sn  0.0000  0.5000  0.5000 x2
Te  0.2182  0.0000  0.6880 x4
Te  0.2357  0.3278  0.6900 x8

Output
Energy relative to the elements, uncorrected, eV per atom: -0.81

Computed, not measured: a relaxed structure of Cs2USn2Te6 at the PBE level of DFT.

Unit cell a=14.4329 b=8.5109 c=9.4788 alpha=90.00 beta=120.95 gamma=90.00
Space group C2/m (No. 12)
Asymmetric unit:
Cs  0.2067  0.0000  0.1927 x4
U  0.0000  0.0000  0.5000 x2
Sn  0.0407  0.5000  0.1807 x4
Te  0.0583  0.2346  0.7747 x8
Te  0.2311  0.0000  0.6093 x4

Output
Energy relative to the elements, uncorrected, eV per atom: -0.53

Computed, not measured: a relaxed structure of CsYSnTe3 at the PBE level of DFT.

Unit cell a=9.9048 b=4.4647 c=12.2502 alpha=90.00 beta=111.20 gamma=90.00
Space group P2_1/m (No. 11)
Asymmetric unit:
Cs  0.2242  0.2500  0.2699 x2
Y  0.3687  0.7500  0.8468 x2
Sn  0.1283  0.2500  0.5590 x2
Te  0.1296  0.2500  0.7937 x2
Te  0.3396  0.7500  0.5818 x2
Te  0.4023  0.7500  0.1052 x2

Output
Energy relative to the elements, uncorrected, eV per atom: -1.04

Computed, not measured: a relaxed structure of CsThSn2 at the PBE level of DFT.

Unit cell a=4.2571 b=4.2571 c=8.3783 alpha=90.00 beta=90.00 gamma=90.00
Space group P4/mmm (No. 123)
Asymmetric unit:
Cs  0.0000  0.0000  0.0000 x1
Th  0.0000  0.0000  0.5000 x1
Sn  0.5000  0.5000  0.3268 x2

Output
Energy of formation, meV/atom: -306

Computed, not measured: a relaxed structure of CsTi3Sn at the PBE level of DFT.

Unit cell a=5.3193 b=5.3193 c=5.3193 alpha=90.00 beta=90.00 gamma=90.00
Space group Pm-3m (No. 221)
Asymmetric unit:
Cs  0.0000  0.0000  0.0000 x1
Ti  0.0000  0.5000  0.5000 x3
Sn  0.5000  0.5000  0.5000 x1

Output
Energy of formation, meV/atom: 1146
Excess energy over the best structure of this formula in the dataset, meV/atom: 0

Computed, not measured: a relaxed structure of CsTiSn2 at the PBE level of DFT.

Unit cell a=6.4073 b=6.4073 c=17.4877 alpha=90.00 beta=90.00 gamma=90.00
Space group I-42d (No. 122)
Asymmetric unit:
Cs  0.0000  0.0000  0.0000 x4
Ti  0.0000  0.0000  0.5000 x4
Sn  0.0008  0.2500  0.6250 x8

Output
Energy of formation, meV/atom: 187
Excess energy over the best structure of this formula in the dataset, meV/atom: 0

Computed, not measured: a relaxed structure of CsTi3Sn at the PBE level of DFT.

Unit cell a=4.9526 b=4.9526 c=4.9526 alpha=90.00 beta=90.00 gamma=90.00
Space group Pm-3m (No. 221)
Asymmetric unit:
Cs  0.0000  0.0000  0.0000 x1
Ti  0.0000  0.0000  0.5000 x3
Sn  0.5000  0.5000  0.5000 x1

Output
Energy of formation, meV/atom: 1797
Excess energy over the best structure of this formula in the dataset, meV/atom: 651

Computed, not measured: a relaxed structure of CsTiSn2 at the PBE level of DFT.

Unit cell a=7.8125 b=7.8125 c=7.8125 alpha=90.00 beta=90.00 gamma=90.00
Space group Fm-3m (No. 225)
Asymmetric unit:
Cs  0.0000  0.0000  0.0000 x4
Ti  0.0000  0.0000  0.5000 x4
Sn  0.2500  0.2500  0.2500 x8

Output
Energy of formation, meV/atom: 555
Excess energy over the best structure of this formula in the dataset, meV/atom: 367

Computed, not measured: a relaxed structure of CsTl6Sn2 at the PBE level of DFT.

Unit cell a=5.3653 b=5.3653 c=10.8073 alpha=90.00 beta=90.00 gamma=90.00
Space group P4/mmm (No. 123)
Asymmetric unit:
Cs  0.0000  0.0000  0.0000 x1
Tl  0.0000  0.0000  0.5000 x1
Tl  0.0000  0.5000  0.2981 x4
Tl  0.5000  0.5000  0.5000 x1
Sn  0.5000  0.5000  0.1372 x2

Output
Energy of formation, meV/atom: -35

Computed, not measured: a relaxed structure of CsTl3Sn3 at the PBE level of DFT.

Unit cell a=10.0398 b=10.0398 c=5.9948 alpha=90.00 beta=90.00 gamma=120.00
Space group P6_3/m (No. 176)
Asymmetric unit:
Cs  0.3333  0.6667  0.2500 x2
Tl  0.0963  0.6984  0.7500 x6
Sn  0.0489  0.8461  0.2500 x6

Output
Energy of formation, meV/atom: -47
Excess energy over the best structure of this formula in the dataset, meV/atom: 0